Computed, not measured: a geometry-optimized La2SmPuN4 structure at the PBE-GGA level of DFT.

Structure (POSCAR):
```
La2SmPuN4
1.0
3.6264 0.0000 0.0000
0.0000 6.2455 0.1161
0.0000 -2.1783 5.9172
Sm N La Pu
1 4 2 1
direct
0.5000 0.5000 0.0000
0.5000 0.7692 0.7768
0.5000 0.2308 0.2232
0.0000 0.2434 0.7694
0.0000 0.7566 0.2306
0.0000 0.5000 0.5000
0.5000 0.0000 0.5000
0.0000 0.0000 0.0000
```

Results
Uncorrected energy = -9.10 eV per atom
SG = No. 10
N(E_F) = 8.1 states/eV per cell
E_form (uncorrected) = -10.6 eV per formula unit
Total moment = 4.592 μB/f.u.